one | A relaxed structure of ZnAuBr2, computed with PBEsol.

Geometry as POSCAR:
```
ZnAuBr2
1.0
-1.8923 3.3104 3.7756
1.8923 -3.3104 3.7756
1.8923 3.3104 -3.7756
Zn Au Br
1 1 2
direct
0.0000 0.0000 0.0000
0.5000 0.5000 0.0000
0.2414 0.7414 0.5000
0.7586 0.2586 0.5000
```

Calculated values
N(E_F)	0.1895	states/eV/atom


two | A relaxed structure of ZnAuBr2, computed with PBEsol.

Geometry as POSCAR:
```
ZnAuBr2
1.0
-1.7788 2.5473 6.6423
1.7788 -2.5473 6.6423
1.7788 2.5473 -6.6423
Zn Au Br
1 1 2
direct
0.0000 0.0000 0.0000
0.1366 0.6366 0.5000
0.6180 0.6180 0.0000
0.8736 0.3736 0.5000
```

Calculated values
N(E_F)	0.3039	states/eV/atom


What should be chosen as the least stable of them? Choose one.


one | A relaxed structure of Zn3AuBr, computed with PBEsol.

Geometry as POSCAR:
```
Zn3AuBr
1.0
4.8901 0.0000 0.0000
0.0000 4.8901 0.0000
0.0000 0.0000 4.8901
Zn Au Br
3 1 1
direct
0.0000 0.0000 0.5000
0.0000 0.5000 0.0000
0.5000 0.0000 0.0000
0.0000 0.0000 0.0000
0.5000 0.5000 0.5000
```

Calculated values
N(E_F)	0.2904	states/eV/atom


two | A relaxed structure of Zn3AuBr, computed with PBEsol.

Geometry as POSCAR:
```
Zn3AuBr
1.0
4.9202 0.0000 0.0000
0.0000 4.9202 0.0000
0.0000 0.0000 4.9202
Zn Au Br
3 1 1
direct
0.0000 0.0000 0.5000
0.0000 0.5000 0.0000
0.5000 0.0000 0.0000
0.5000 0.5000 0.5000
0.0000 0.0000 0.0000
```

Calculated values
N(E_F)	0.4453	states/eV/atom


What should be chosen as the least stable of them? Choose two.


one | A relaxed structure of ZrAuBr2, computed with PBEsol.

Geometry as POSCAR:
```
ZrAuBr2
1.0
-1.6015 2.4460 6.3302
1.6015 -2.4460 6.3302
1.6015 2.4460 -6.3302
Zr Au Br
1 1 2
direct
0.0000 0.0000 0.0000
0.1800 0.6800 0.5000
0.5152 0.5152 0.0000
0.8257 0.3257 0.5000
```

Calculated values
N(E_F)	0.3594	states/eV/atom


two | A relaxed structure of ZrAuBr2, computed with PBEsol.

Geometry as POSCAR:
```
ZrAuBr2
1.0
-2.2653 2.2653 4.0753
2.2653 -2.2653 4.0753
2.2653 2.2653 -4.0753
Zr Au Br
1 1 2
direct
0.0000 0.0000 0.0000
0.7500 0.2500 0.5000
0.2500 0.7500 0.5000
0.5000 0.5000 0.0000
```

Calculated values
N(E_F)	0.7710	states/eV/atom


What should be chosen as the least stable of them? Choose two.


one | A relaxed structure of AuC3, computed with PBEsol.

Geometry as POSCAR:
```
AuC3
1.0
-1.8367 1.8367 2.8933
1.8367 -1.8367 2.8933
1.8367 1.8367 -2.8933
Au C
1 3
direct
0.0000 0.0000 0.0000
0.2500 0.7500 0.5000
0.5000 0.5000 0.0000
0.7500 0.2500 0.5000
```

Calculated values
N(E_F)	0.4686	states/eV/atom


two | A relaxed structure of AuC3, computed with PBEsol.

Geometry as POSCAR:
```
AuC3
1.0
4.3003 0.0000 0.0000
0.0000 4.3003 0.0000
0.0000 0.0000 4.3003
Au C
2 6
direct
0.0000 0.0000 0.0000
0.5000 0.5000 0.5000
0.0000 0.2500 0.5000
0.0000 0.7500 0.5000
0.2500 0.5000 0.0000
0.5000 0.0000 0.2500
0.5000 0.0000 0.7500
0.7500 0.5000 0.0000
```

Calculated values
N(E_F)	0.3931	states/eV/atom


What should be chosen as the least stable of them? Choose one.


one | A relaxed structure of Au2C, computed with PBEsol.

Geometry as POSCAR:
```
Au2C
1.0
5.1590 -1.5063 0.0000
5.1590 1.5063 0.0000
-5.0775 0.0000 5.7634
Au C
4 2
direct
0.0967 0.0967 0.3227
0.2319 0.2319 0.7859
0.7681 0.7681 0.2141
0.9033 0.9033 0.6773
0.4018 0.4018 0.1588
0.5982 0.5982 0.8412
```

Calculated values
N(E_F)	0.4062	states/eV/atom


two | A relaxed structure of Au2C, computed with PBEsol.

Geometry as POSCAR:
```
Au2C
1.0
3.7064 0.0000 0.0000
-1.8532 3.2098 0.0000
0.0000 0.0000 7.4543
Au C
4 2
direct
0.0000 0.0000 0.0000
0.0000 0.0000 0.5000
0.3333 0.6667 0.2500
0.6667 0.3333 0.7500
0.3333 0.6667 0.7500
0.6667 0.3333 0.2500
```

Calculated values
N(E_F)	0.5939	states/eV/atom


three | A relaxed structure of Au2C, computed with PBEsol.

Geometry as POSCAR:
```
Au2C
1.0
-1.4559 1.4825 10.4030
1.4559 -1.4825 10.4030
1.4559 1.4825 -10.4030
Au C
4 2
direct
0.3049 0.0549 0.2500
0.4383 0.1883 0.2500
0.5617 0.8117 0.7500
0.6951 0.9451 0.7500
0.0977 0.3477 0.7500
0.9023 0.6523 0.2500
```

Calculated values
N(E_F)	0.3036	states/eV/atom


What should be chosen as the least stable of them? Choose three.


one | A relaxed structure of P2AuCCl, computed with PBEsol.

Geometry as POSCAR:
```
P2AuCCl
1.0
4.1403 0.0000 0.0000
0.0000 4.1403 0.0000
0.0000 0.0000 4.1323
P Au C Cl
2 1 1 1
direct
0.0000 0.5000 0.0000
0.5000 0.0000 0.0000
0.0000 0.0000 0.5000
0.5000 0.5000 0.0000
0.5000 0.5000 0.5000
```

Calculated values
N(E_F)	0.5625	states/eV/atom


two | A relaxed structure of P2AuCCl, computed with PBEsol.

Geometry as POSCAR:
```
P2AuCCl
1.0
4.7464 0.0000 0.0000
0.0000 4.7464 0.0000
0.0000 0.0000 4.8739
P Au C Cl
2 1 1 1
direct
0.0000 0.5000 0.0000
0.5000 0.0000 0.0000
0.0000 0.0000 0.0000
0.5000 0.5000 0.5000
0.0000 0.0000 0.5000
```

Calculated values
N(E_F)	1.2720	states/eV/atom


What should be chosen as the least stable of them? Choose two.